[1]
A plane-wave DFT calculation with PBE was carried out for an optimized crystal structure of LiPrScPd.

Calculated values
* formation enthalpy at 0 K: -319 meV per atom
* V: 88.4 Å³/cell
* crystal system: cubic

abc: 5.000 5.000 5.000
angles: 60.00 60.00 60.00
Fractional coordinates of all 4 atoms:
Pr  0.250  0.250  0.250
Sc  0.750  0.750  0.750
Pd  0.500  0.500  0.500
Li  0.000  0.000  0.000


[2]
A plane-wave DFT calculation with PBE was carried out for an optimized crystal structure of LiPrSi2Pd5.

Calculated values
* formation energy without anion corrections: -0.668 eV/atom
* V: 157.2 Å³/cell
* crystal system: tetragonal

abc: 4.160 4.160 9.082
angles: 90.00 90.00 90.00
Fractional coordinates of all 9 atoms:
Li  0.000  0.000  0.000
Pr  0.000  0.000  0.500
Si  0.500  0.500  0.127
Si  0.500  0.500  0.873
Pd  0.000  0.500  0.257
Pd  0.500  0.000  0.257
Pd  0.000  0.500  0.743
Pd  0.500  0.000  0.743
Pd  0.500  0.500  0.500


[3]
A plane-wave DFT calculation with PBE was carried out for an optimized crystal structure of LiPr2Si4Pd3.

Calculated values
* formation energy without anion corrections: -0.786 eV/atom
* V: 182.5 Å³/cell
* crystal system: tetragonal

abc: 4.252 4.252 10.093
angles: 90.00 90.00 90.00
Fractional coordinates of all 10 atoms:
Li  0.500  0.500  0.500
Pr  0.500  0.000  0.249
Pr  0.000  0.500  0.751
Si  0.500  0.500  0.000
Si  0.000  0.000  0.000
Si  0.500  0.000  0.636
Si  0.000  0.500  0.364
Pd  0.000  0.000  0.500
Pd  0.500  0.000  0.880
Pd  0.000  0.500  0.120


[4]
A plane-wave DFT calculation with PBE was carried out for an optimized crystal structure of LiPr2SiPd6.

Calculated values
* formation energy without anion corrections: -0.634 eV/atom
* V: 195.7 Å³/cell
* crystal system: monoclinic

abc: 6.676 6.431 6.680
angles: 75.19 49.56 96.28
Fractional coordinates of all 10 atoms:
Li  0.000  0.000  0.000
Pr  0.741  0.271  0.469
Pr  0.259  0.729  0.531
Si  0.500  0.500  0.000
Pd  0.253  0.269  0.492
Pd  0.751  0.892  0.861
Pd  0.240  0.731  0.015
Pd  0.760  0.269  0.985
Pd  0.249  0.108  0.139
Pd  0.747  0.731  0.508


[5]
A plane-wave DFT calculation with PBE was carried out for an optimized crystal structure of LiPrSi2Pd.

Calculated values
* formation energy without anion corrections: -0.758 eV/atom
* V: 90.0 Å³/cell
* crystal system: tetragonal

abc: 4.144 4.144 6.006
angles: 110.18 110.18 90.00
Fractional coordinates of all 5 atoms:
Li  0.250  0.750  0.500
Pr  0.000  0.000  0.000
Si  0.613  0.613  0.226
Si  0.387  0.387  0.774
Pd  0.750  0.250  0.500


[6]
A plane-wave DFT calculation with PBE was carried out for an optimized crystal structure of LiPr2Si3Pd12.

Calculated values
* formation energy without anion corrections: -0.464 eV/atom
* V: 316.0 Å³/cell
* crystal system: trigonal

abc: 6.856 6.856 6.856
angles: 83.28 83.28 83.28
Fractional coordinates of all 18 atoms:
Li  0.000  0.000  0.000
Pr  0.633  0.633  0.633
Pr  0.367  0.367  0.367
Si  0.500  0.000  0.000
Si  0.000  0.500  0.000
Si  0.000  0.000  0.500
Pd  0.366  0.366  0.920
Pd  0.824  0.824  0.316
Pd  0.316  0.824  0.824
Pd  0.920  0.366  0.366
Pd  0.824  0.316  0.824
Pd  0.366  0.920  0.366
Pd  0.634  0.634  0.080
Pd  0.176  0.176  0.684
Pd  0.684  0.176  0.176
Pd  0.080  0.634  0.634
Pd  0.176  0.684  0.176
Pd  0.634  0.080  0.634


[7]
A plane-wave DFT calculation with PBE was carried out for an optimized crystal structure of LiPr3Si2Pd9.

Calculated values
* formation energy without anion corrections: -0.617 eV/atom
* V: 300.6 Å³/cell
* crystal system: trigonal

abc: 5.897 5.897 9.980
angles: 90.00 90.00 120.00
Fractional coordinates of all 15 atoms:
Li  0.000  0.000  0.500
Pr  0.333  0.667  0.618
Pr  0.000  0.000  0.000
Pr  0.667  0.333  0.382
Si  0.333  0.667  0.165
Si  0.667  0.333  0.835
Pd  0.840  0.160  0.686
Pd  0.840  0.681  0.686
Pd  0.319  0.160  0.686
Pd  0.681  0.840  0.314
Pd  0.160  0.319  0.314
Pd  0.160  0.840  0.314
Pd  0.500  0.000  0.000
Pd  0.000  0.500  0.000
Pd  0.500  0.500  0.000


[8]
A plane-wave DFT calculation with PBE was carried out for an optimized crystal structure of LiPr2Si3Pd4.

Calculated values
* formation energy without anion corrections: -0.862 eV/atom
* V: 182.2 Å³/cell
* crystal system: tetragonal

abc: 4.273 4.273 9.977
angles: 90.00 90.00 90.00
Fractional coordinates of all 10 atoms:
Li  0.500  0.500  0.500
Pr  0.500  0.000  0.252
Pr  0.000  0.500  0.748
Si  0.000  0.000  0.500
Si  0.500  0.000  0.870
Si  0.000  0.500  0.130
Pd  0.500  0.500  0.000
Pd  0.000  0.000  0.000
Pd  0.500  0.000  0.626
Pd  0.000  0.500  0.374


[9]
A plane-wave DFT calculation with PBE was carried out for an optimized crystal structure of Li2PrSiPd2.

Calculated values
* formation energy without anion corrections: -0.398 eV/atom
* V: 125.2 Å³/cell
* crystal system: tetragonal

abc: 4.646 4.646 5.801
angles: 90.00 90.00 90.00
Fractional coordinates of all 6 atoms:
Li  0.500  0.500  0.768
Li  0.500  0.500  0.232
Pr  0.000  0.000  0.500
Si  0.000  0.000  0.000
Pd  0.500  0.000  0.000
Pd  0.000  0.500  0.000


[10]
A plane-wave DFT calculation with PBE was carried out for an optimized crystal structure of LiPrSmPd.

Calculated values
* formation enthalpy at 0 K: -317 meV per atom
* V: 98.5 Å³/cell
* crystal system: cubic

abc: 5.183 5.183 5.183
angles: 60.00 60.00 60.00
Fractional coordinates of all 4 atoms:
Pr  0.500  0.500  0.500
Pd  0.250  0.250  0.250
Sm  0.000  0.000  0.000
Li  0.750  0.750  0.750


[11]
A plane-wave DFT calculation with PBE was carried out for an optimized crystal structure of LiPr2Sn3Pd4.

Calculated values
* formation enthalpy at 0 K: -747 meV per atom
* V: 220.6 Å³/cell
* crystal system: tetragonal

abc: 4.500 4.500 10.892
angles: 90.00 90.00 90.00
Fractional coordinates of all 10 atoms:
Li  0.500  0.500  0.500
Pr  0.500  0.000  0.246
Pr  0.000  0.500  0.754
Sn  0.000  0.000  0.500
Sn  0.500  0.000  0.867
Sn  0.000  0.500  0.133
Pd  0.500  0.500  0.000
Pd  0.000  0.000  0.000
Pd  0.500  0.000  0.628
Pd  0.000  0.500  0.372


[12]
A plane-wave DFT calculation with PBE was carried out for an optimized crystal structure of Li4PrSn2Pd.

Calculated values
* formation enthalpy at 0 K: -396 meV per atom
* V: 155.7 Å³/cell
* crystal system: trigonal

abc: 4.742 4.742 8.450
angles: 73.70 73.70 60.00
Fractional coordinates of all 8 atoms:
Li  0.397  0.397  0.810
Li  0.864  0.864  0.407
Li  0.136  0.136  0.593
Li  0.603  0.603  0.190
Pr  0.000  0.000  0.000
Sn  0.748  0.748  0.757
Sn  0.252  0.252  0.243
Pd  0.500  0.500  0.500


Repeat the second record exactly.
A plane-wave DFT calculation with PBE was carried out for an optimized crystal structure of LiPrSi2Pd5.

Calculated values
* formation energy without anion corrections: -0.668 eV/atom
* V: 157.2 Å³/cell
* crystal system: tetragonal

abc: 4.160 4.160 9.082
angles: 90.00 90.00 90.00
Fractional coordinates of all 9 atoms:
Li  0.000  0.000  0.000
Pr  0.000  0.000  0.500
Si  0.500  0.500  0.127
Si  0.500  0.500  0.873
Pd  0.000  0.500  0.257
Pd  0.500  0.000  0.257
Pd  0.000  0.500  0.743
Pd  0.500  0.000  0.743
Pd  0.500  0.500  0.500